## BaTm2AgTe4 (PBE)

Data for BaTm2AgTe4 after structural relaxation.

Density of states at the Fermi level in states/eV per atom: 0.320
Energy relative to the elements, uncorrected in eV per atom: -1.167
Magnetization in μB per atom: 0.000

abc: 4.519 14.763 15.407
angles: 90.00 90.00 90.00
Space group Cmcm (No. 63)
Inequivalent atoms, fractional coordinates:
Ba1 0.000 0.136 0.250
Tm1 0.000 0.378 0.064
Ag1 0.000 0.147 0.750
Te1 0.000 0.000 0.000
Te2 0.000 0.265 0.606
Te3 0.000 0.459 0.250